## Te2W2N2O15 (GGA+U)

Data for a relaxed structure of Te2W2N2O15.

Values from the calculation:
space group = Imm2, No. 44
uncorrected energy = -5.76 eV per atom
volume = 282 Å³/f.u.

Cell: 7.349 7.349 7.349 Å, 120.12 119.36 90.45°
Atoms (fractional coordinates):
O 0.722 0.596 0.497
O 0.092 0.592 0.500
O 0.477 0.849 0.002
Te 0.788 0.538 0.750
W 0.787 0.538 0.250
O 0.848 0.476 0.998
O 0.099 0.596 0.874
O 0.225 0.225 0.000
W 0.288 0.538 0.750
O 0.161 0.310 0.150
O 0.483 0.483 0.000
O 0.717 0.217 0.500
O 0.858 0.858 0.000
O 0.161 0.011 0.850
N 0.683 0.993 0.690
O 0.722 0.225 0.126
O 0.099 0.225 0.503
O 0.848 0.849 0.372
Te 0.788 0.038 0.250
N 0.303 0.993 0.310
O 0.477 0.476 0.628